# 1
VASP calculation (PBE) on an optimized crystal structure of Sn3MoCl.

Cell: 5.2522 5.2522 5.2522 Å, 90.00 90.00 90.00°
Space group Pm-3m (No. 221)
Asymmetric unit:
1 Sn 0.0000 0.0000 0.5000 [3 per cell]
2 Mo 0.0000 0.0000 0.0000 [1 per cell]
3 Cl 0.5000 0.5000 0.5000 [1 per cell]

Output
For the energy relative to the elements, uncorrected, the calculation gives -0.007 eV/atom. The value obtained for the total energy is -4.944 eV per atom.

***

# 2
VASP calculation (PBE) on an optimized crystal structure of SnMoCl2.

Cell: 7.0974 7.0974 7.0974 Å, 90.00 90.00 90.00°
Space group Fm-3m (No. 225)
Asymmetric unit:
1 Sn 0.0000 0.0000 0.0000 [4 per cell]
2 Mo 0.0000 0.0000 0.5000 [4 per cell]
3 Cl 0.2500 0.2500 0.2500 [8 per cell]

Output
For the energy relative to the elements, uncorrected, the calculation gives 0.531 eV/atom. The value obtained for the total energy is -4.100 eV per atom.

***

# 3
VASP calculation (PBE) on an optimized crystal structure of Sn2MoCl.

Cell: 6.3829 6.3829 13.0614 Å, 90.00 90.00 90.00°
Space group I-42d (No. 122)
Asymmetric unit:
1 Sn 0.2035 0.2500 0.1250 [8 per cell]
2 Mo 0.0000 0.0000 0.0000 [4 per cell]
3 Cl 0.0000 0.0000 0.5000 [4 per cell]

Output
For the energy relative to the elements, uncorrected, the calculation gives 0.660 eV/atom. The value obtained for the total energy is -4.511 eV per atom.

***

# 4
VASP calculation (PBE) on an optimized crystal structure of Sn2MoCl8.

Cell: 13.7565 6.6014 7.2748 Å, 90.00 90.31 90.00°
Space group C2/m (No. 12)
Asymmetric unit:
1 Sn 0.1344 0.0000 0.0183 [4 per cell]
2 Mo 0.0000 0.0000 0.5000 [2 per cell]
3 Cl 0.0410 0.2470 0.7270 [8 per cell]
4 Cl 0.1669 0.0000 0.3900 [4 per cell]
5 Cl 0.1912 0.5000 0.0781 [4 per cell]

Output
For the energy relative to the elements, uncorrected, the calculation gives -0.892 eV/atom. The value obtained for the total energy is -3.948 eV per atom.

***

# 5
VASP calculation (PBE) on an optimized crystal structure of SnMoCl3.

Cell: 4.9927 4.9927 4.9927 Å, 90.00 90.00 90.00°
Space group Pm-3m (No. 221)
Asymmetric unit:
1 Sn 0.0000 0.0000 0.0000 [1 per cell]
2 Mo 0.5000 0.5000 0.5000 [1 per cell]
3 Cl 0.0000 0.5000 0.5000 [3 per cell]

Output
For the energy relative to the elements, uncorrected, the calculation gives -0.072 eV/atom. The value obtained for the total energy is -4.147 eV per atom.

***

# 6
VASP calculation (PBE) on an optimized crystal structure of SnMoCl2.

Cell: 6.5429 6.5429 10.2860 Å, 90.00 90.00 90.00°
Space group I-42d (No. 122)
Asymmetric unit:
1 Sn 0.0000 0.0000 0.0000 [4 per cell]
2 Mo 0.0000 0.0000 0.5000 [4 per cell]
3 Cl 0.1577 0.2500 0.6250 [8 per cell]

Output
For the energy relative to the elements, uncorrected, the calculation gives 0.512 eV/atom. The value obtained for the total energy is -4.120 eV per atom.

***

# 7
VASP calculation (PBE) on an optimized crystal structure of SnMoCl2.

Cell: 3.1669 3.1669 29.0286 Å, 90.00 90.00 120.00°
Space group R-3m (No. 166, hexagonal axes)
Asymmetric unit:
1 Sn 0.0000 0.0000 0.0000 [3 per cell]
2 Mo 0.0000 0.0000 0.5000 [3 per cell]
3 Cl 0.0000 0.0000 0.4203 [6 per cell]

Output
For the energy relative to the elements, uncorrected, the calculation gives 0.025 eV/atom. The value obtained for the total energy is -4.606 eV per atom.

***

# 8
VASP calculation (PBE) on an optimized crystal structure of SnMoCl3.

Cell: 5.4621 5.4621 5.4621 Å, 90.00 90.00 90.00°
Space group Pm-3m (No. 221)
Asymmetric unit:
1 Sn 0.0000 0.0000 0.0000 [1 per cell]
2 Mo 0.5000 0.5000 0.5000 [1 per cell]
3 Cl 0.0000 0.0000 0.5000 [3 per cell]

Output
For the energy relative to the elements, uncorrected, the calculation gives 0.219 eV/atom. The value obtained for the total energy is -3.856 eV per atom.

***

# 9
VASP calculation (PBE) on an optimized crystal structure of Sn3MoCl.

Cell: 5.2681 5.2681 5.2681 Å, 90.00 90.00 90.00°
Space group Pm-3m (No. 221)
Asymmetric unit:
1 Sn 0.0000 0.0000 0.5000 [3 per cell]
2 Mo 0.5000 0.5000 0.5000 [1 per cell]
3 Cl 0.0000 0.0000 0.0000 [1 per cell]

Output
For the energy relative to the elements, uncorrected, the calculation gives 1.051 eV/atom. The value obtained for the total energy is -3.886 eV per atom.

***

# 10
VASP calculation (PBE) on an optimized crystal structure of Sn2MoCl.

Cell: 7.1479 7.1479 7.1479 Å, 90.00 90.00 90.00°
Space group Fm-3m (No. 225)
Asymmetric unit:
1 Sn 0.2500 0.2500 0.2500 [8 per cell]
2 Mo 0.0000 0.0000 0.0000 [4 per cell]
3 Cl 0.0000 0.0000 0.5000 [4 per cell]

Output
For the energy relative to the elements, uncorrected, the calculation gives 0.605 eV/atom. The value obtained for the total energy is -4.566 eV per atom.

***

# 11
VASP calculation (PBE) on an optimized crystal structure of TlSnMoCl2.

Cell: 5.3890 5.3890 6.0929 Å, 90.00 90.00 90.00°
Space group P4/mmm (No. 123)
Asymmetric unit:
1 Tl 0.0000 0.0000 0.0000 [1 per cell]
2 Sn 0.0000 0.0000 0.5000 [1 per cell]
3 Mo 0.5000 0.5000 0.0000 [1 per cell]
4 Cl 0.0000 0.5000 0.5000 [2 per cell]

Output
For the energy relative to the elements, uncorrected, the calculation gives 0.620 eV/atom. The value obtained for the total energy is -3.559 eV per atom.

***

# 12
VASP calculation (PBE) on an optimized crystal structure of YSnMo2Cl.

Cell: 5.2075 5.2075 5.2659 Å, 90.00 90.00 90.00°
Space group P4/mmm (No. 123)
Asymmetric unit:
1 Y 0.0000 0.0000 0.0000 [1 per cell]
2 Sn 0.5000 0.5000 0.5000 [1 per cell]
3 Mo 0.0000 0.5000 0.5000 [2 per cell]
4 Cl 0.5000 0.5000 0.0000 [1 per cell]

Output
For the energy relative to the elements, uncorrected, the calculation gives 1.296 eV/atom. The value obtained for the total energy is -5.499 eV per atom.